No. 1
Li7InHg2: optimized geometry, PBE.

```
Li7InHg2
1.0
-0.781 -4.563 -0.463
4.344 1.652 -0.228
0.962 -1.165 9.873
Li Hg In
7 2 1
Direct
0.000 0.000 0.358
0.333 0.667 0.902
0.667 0.333 0.943
0.000 0.000 0.741
0.333 0.667 0.390
0.333 0.667 0.148
0.667 0.333 0.551
0.333 0.667 0.646
0.667 0.333 0.247
0.000 0.000 0.057
```

The volume is 18.73 Å³ per atom. The energy relative to the lowest polymorph listed for this composition comes out at 0.000 eV/atom. Its mass density is 5.01 g cm⁻³.

***

No. 2
AlSb2WN: optimized geometry, PBE.

```
AlSb2WN
1.0
-4.605 2.536 -0.240
-1.326 -2.770 -3.818
-2.112 -3.523 3.290
Sb Al N W
2 1 1 1
Direct
0.000 0.000 0.500
0.500 0.000 0.000
0.000 0.000 0.000
0.500 0.500 0.500
0.000 0.500 0.000
```

The value obtained for the formation energy (no corrections) is 2.30 eV per atom. The volume is 27.14 Å³ per atom. Its mass density is 5.73 g cm⁻³.